No. 1
Dy3Lu3Sb2Os | PBE | optimized geometry

## Properties
The calculation puts the magnetic moment at 0.01 μB per formula unit. The crystal system is hexagonal. Its total energy is -5.82 eV/atom.

Lattice parameters (Å, degrees): 8.115 8.115 4.177 90.00 90.00 120.00
Atoms (fractional coordinates):
Dy (0.000, 0.759, 0.000)
Dy (0.241, 0.241, 0.000)
Dy (0.759, 0.000, 0.000)
Lu (0.000, 0.388, 0.500)
Lu (0.388, 0.000, 0.500)
Lu (0.612, 0.612, 0.500)
Sb (0.333, 0.667, 0.000)
Sb (0.667, 0.333, 0.000)
Os (0.000, 0.000, 0.500)

---

No. 2
TmThSb | PBE | optimized geometry

## Properties
The calculation puts the magnetic moment at 0.15 μB per formula unit. The crystal system is cubic. Its total energy is -5.59 eV/atom.

Lattice parameters (Å, degrees): 7.282 7.282 7.282 90.00 90.00 90.00
Atoms (fractional coordinates):
Tm (0.000, 0.000, 0.000)
Tm (0.000, 0.500, 0.500)
Tm (0.500, 0.000, 0.500)
Tm (0.500, 0.500, 0.000)
Th (0.000, 0.000, 0.500)
Th (0.000, 0.500, 0.000)
Th (0.500, 0.000, 0.000)
Th (0.500, 0.500, 0.500)
Sb (0.250, 0.250, 0.750)
Sb (0.250, 0.750, 0.250)
Sb (0.750, 0.250, 0.250)
Sb (0.750, 0.750, 0.750)

---

No. 3
ZnB4As | PBE | optimized geometry

## Properties
The crystal system is hexagonal. Its total energy is -4.92 eV/atom.

Lattice parameters (Å, degrees): 3.053 3.053 7.363 90.00 90.00 120.00
Atoms (fractional coordinates):
Zn (0.000, 0.000, 0.000)
B (0.333, 0.667, 0.232)
B (0.333, 0.667, 0.768)
B (0.667, 0.333, 0.232)
B (0.667, 0.333, 0.768)
As (0.000, 0.000, 0.500)

---

No. 4
NaTe4PdAu3 | PBE | optimized geometry

## Properties
The crystal system is cubic. Its total energy is -3.32 eV/atom.

Lattice parameters (Å, degrees): 6.530 6.530 6.530 90.00 90.00 90.00
Atoms (fractional coordinates):
Na (0.000, 0.000, 0.000)
Te (0.264, 0.264, 0.264)
Te (0.264, 0.736, 0.736)
Te (0.736, 0.264, 0.736)
Te (0.736, 0.736, 0.264)
Pd (0.500, 0.500, 0.500)
Au (0.000, 0.500, 0.500)
Au (0.500, 0.000, 0.500)
Au (0.500, 0.500, 0.000)

---

No. 5
NpMoPb | PBE | optimized geometry

## Properties
The calculation puts the magnetic moment at 3.20 μB per formula unit. The crystal system is cubic. Its total energy is -8.37 eV/atom.

Lattice parameters (Å, degrees): 6.672 6.672 6.672 90.00 90.00 90.00
Atoms (fractional coordinates):
Np (0.000, 0.000, 0.000)
Np (0.000, 0.500, 0.500)
Np (0.500, 0.000, 0.500)
Np (0.500, 0.500, 0.000)
Mo (0.250, 0.250, 0.750)
Mo (0.250, 0.750, 0.250)
Mo (0.750, 0.250, 0.250)
Mo (0.750, 0.750, 0.750)
Pb (0.000, 0.000, 0.500)
Pb (0.000, 0.500, 0.000)
Pb (0.500, 0.000, 0.000)
Pb (0.500, 0.500, 0.500)

---

No. 6
SmTePO | PBE | optimized geometry

## Properties
The calculation puts the magnetic moment at 0.00 μB per formula unit. The crystal system is orthorhombic. Its total energy is -5.79 eV/atom.

Lattice parameters (Å, degrees): 5.399 7.343 6.043 90.00 90.00 90.00
Atoms (fractional coordinates):
Sm (0.000, 0.180, 0.000)
Sm (0.000, 0.820, 0.500)
Te (0.500, 0.328, 0.605)
Te (0.500, 0.672, 0.105)
P (0.500, 0.332, 0.023)
P (0.500, 0.668, 0.523)
O (0.000, 0.059, 0.312)
O (0.000, 0.941, 0.812)

---

No. 7
LuCu2Ir | PBE | optimized geometry

## Properties
The formation energy comes out at -1.0 eV/f.u. The calculation puts the magnetic moment at 0.00 μB per formula unit. The crystal system is cubic. Its total energy is -5.45 eV/atom.

Lattice parameters (Å, degrees): 6.324 6.324 6.324 90.00 90.00 90.00
Atoms (fractional coordinates):
Lu (0.000, 0.000, 0.000)
Lu (0.000, 0.500, 0.500)
Lu (0.500, 0.000, 0.500)
Lu (0.500, 0.500, 0.000)
Cu (0.000, 0.000, 0.500)
Cu (0.000, 0.500, 0.000)
Cu (0.250, 0.250, 0.250)
Cu (0.250, 0.750, 0.750)
Cu (0.500, 0.000, 0.000)
Cu (0.500, 0.500, 0.500)
Cu (0.750, 0.250, 0.750)
Cu (0.750, 0.750, 0.250)
Ir (0.250, 0.250, 0.750)
Ir (0.250, 0.750, 0.250)
Ir (0.750, 0.250, 0.250)
Ir (0.750, 0.750, 0.750)

---

No. 8
TbYGe | PBE | optimized geometry

## Properties
The calculation puts the magnetic moment at 0.00 μB per formula unit. The crystal system is cubic. Its total energy is -5.80 eV/atom.

Lattice parameters (Å, degrees): 6.927 6.927 6.927 90.00 90.00 90.00
Atoms (fractional coordinates):
Tb (0.000, 0.000, 0.000)
Tb (0.000, 0.500, 0.500)
Tb (0.500, 0.000, 0.500)
Tb (0.500, 0.500, 0.000)
Y (0.000, 0.000, 0.500)
Y (0.000, 0.500, 0.000)
Y (0.500, 0.000, 0.000)
Y (0.500, 0.500, 0.500)
Ge (0.250, 0.250, 0.250)
Ge (0.250, 0.750, 0.750)
Ge (0.750, 0.250, 0.750)
Ge (0.750, 0.750, 0.250)

---

No. 9
CdSiSn2 | PBE | optimized geometry

## Properties
The crystal system is cubic. Its total energy is -3.24 eV/atom.

Lattice parameters (Å, degrees): 7.250 7.250 7.250 90.00 90.00 90.00
Atoms (fractional coordinates):
Cd (0.000, 0.000, 0.000)
Cd (0.000, 0.500, 0.500)
Cd (0.500, 0.000, 0.500)
Cd (0.500, 0.500, 0.000)
Si (0.250, 0.250, 0.750)
Si (0.250, 0.750, 0.250)
Si (0.750, 0.250, 0.250)
Si (0.750, 0.750, 0.750)
Sn (0.000, 0.000, 0.500)
Sn (0.000, 0.500, 0.000)
Sn (0.250, 0.250, 0.250)
Sn (0.250, 0.750, 0.750)
Sn (0.500, 0.000, 0.000)
Sn (0.500, 0.500, 0.500)
Sn (0.750, 0.250, 0.750)
Sn (0.750, 0.750, 0.250)

---

No. 10
AcThFe | PBE | optimized geometry

## Properties
The formation energy comes out at 1.1 eV/f.u. The calculation puts the magnetic moment at 0.01 μB per formula unit. The crystal system is cubic. Its total energy is -6.26 eV/atom.

Lattice parameters (Å, degrees): 6.988 6.988 6.988 90.00 90.00 90.00
Atoms (fractional coordinates):
Ac (0.000, 0.000, 0.000)
Ac (0.000, 0.500, 0.500)
Ac (0.500, 0.000, 0.500)
Ac (0.500, 0.500, 0.000)
Th (0.000, 0.000, 0.500)
Th (0.000, 0.500, 0.000)
Th (0.500, 0.000, 0.000)
Th (0.500, 0.500, 0.500)
Fe (0.250, 0.250, 0.250)
Fe (0.250, 0.750, 0.750)
Fe (0.750, 0.250, 0.750)
Fe (0.750, 0.750, 0.250)

---

No. 11
TmPPbO | PBE | optimized geometry

## Properties
The calculation puts the magnetic moment at 0.00 μB per formula unit. The crystal system is orthorhombic. Its total energy is -6.01 eV/atom.

Lattice parameters (Å, degrees): 4.672 6.916 6.244 90.00 90.00 90.00
Atoms (fractional coordinates):
Tm (0.000, 0.140, 0.000)
Tm (0.000, 0.860, 0.500)
P (0.500, 0.299, 0.882)
P (0.500, 0.701, 0.382)
Pb (0.500, 0.298, 0.418)
Pb (0.500, 0.702, 0.918)
O (0.000, 0.124, 0.336)
O (0.000, 0.876, 0.836)

---

No. 12
As2H42PdC42Cl2O6 | PBE | optimized geometry

## Properties
The crystal system is triclinic. Its total energy is -6.19 eV/atom.

Lattice parameters (Å, degrees): 8.987 10.791 12.001 102.93 110.33 106.92
Atoms (fractional coordinates):
As (0.084, 0.188, 0.192)
As (0.916, 0.812, 0.808)
H (0.007, 0.880, 0.441)
H (0.028, 0.571, 0.803)
H (0.062, 0.438, 0.596)
H (0.066, 0.642, 0.145)
H (0.081, 0.809, 0.329)
H (0.138, 0.202, 0.727)
H (0.175, 0.327, 0.578)
H (0.207, 0.701, 0.526)
H (0.266, 0.504, 0.592)
H (0.285, 0.003, 0.940)
H (0.296, 0.994, 0.532)
H (0.314, 0.696, 0.093)
H (0.341, 0.606, 0.406)
H (0.373, 0.578, 0.847)
H (0.417, 0.812, 0.344)
H (0.442, 0.763, 0.893)
H (0.447, 0.397, 0.394)
H (0.456, 0.310, 0.997)
H (0.471, 0.948, 0.123)
H (0.473, 0.542, 0.093)
H (0.486, 0.901, 0.671)
H (0.514, 0.099, 0.329)
H (0.527, 0.458, 0.907)
H (0.529, 0.052, 0.877)
H (0.544, 0.690, 0.003)
H (0.553, 0.603, 0.606)
H (0.558, 0.237, 0.107)
H (0.583, 0.188, 0.656)
H (0.627, 0.422, 0.153)
H (0.659, 0.394, 0.594)
H (0.686, 0.304, 0.907)
H (0.704, 0.006, 0.468)
H (0.715, 0.997, 0.060)
H (0.734, 0.496, 0.408)
H (0.793, 0.299, 0.474)
H (0.825, 0.673, 0.422)
H (0.862, 0.798, 0.273)
H (0.919, 0.191, 0.671)
H (0.934, 0.358, 0.855)
H (0.938, 0.562, 0.404)
H (0.972, 0.429, 0.197)
H (0.993, 0.120, 0.559)
Pd (0.000, 0.000, 0.000)
C (0.003, 0.138, 0.656)
C (0.084, 0.455, 0.177)
C (0.089, 0.737, 0.653)
C (0.113, 0.822, 0.771)
C (0.136, 0.574, 0.148)
C (0.145, 0.412, 0.554)
C (0.171, 0.368, 0.177)
C (0.206, 0.086, 0.393)
C (0.223, 0.766, 0.617)
C (0.252, 0.199, 0.353)
C (0.270, 0.936, 0.850)
C (0.275, 0.604, 0.117)
C (0.312, 0.398, 0.146)
C (0.327, 0.082, 0.501)
C (0.364, 0.517, 0.116)
C (0.381, 0.880, 0.698)
C (0.405, 0.965, 0.815)
C (0.414, 0.309, 0.425)
C (0.467, 0.693, 0.464)
C (0.485, 0.679, 0.902)
C (0.490, 0.192, 0.572)
C (0.510, 0.808, 0.428)
C (0.515, 0.321, 0.098)
C (0.533, 0.307, 0.536)
C (0.586, 0.691, 0.575)
C (0.595, 0.035, 0.185)
C (0.619, 0.120, 0.302)
C (0.636, 0.483, 0.884)
C (0.673, 0.918, 0.499)
C (0.688, 0.602, 0.854)
C (0.725, 0.396, 0.883)
C (0.730, 0.064, 0.150)
C (0.748, 0.801, 0.647)
C (0.777, 0.234, 0.383)
C (0.794, 0.914, 0.607)
C (0.829, 0.632, 0.823)
C (0.855, 0.588, 0.446)
C (0.864, 0.426, 0.852)
C (0.887, 0.178, 0.229)
C (0.911, 0.263, 0.347)
C (0.916, 0.545, 0.823)
C (0.997, 0.862, 0.344)
Cl (0.155, 0.889, 0.105)
Cl (0.845, 0.111, 0.895)
O (0.041, 0.989, 0.321)
O (0.068, 0.376, 0.419)
O (0.389, 0.306, 0.147)
O (0.611, 0.694, 0.853)
O (0.932, 0.624, 0.581)
O (0.959, 0.011, 0.679)

---

No. 13
TaNbCoGe | PBE | optimized geometry

## Properties
The calculation puts the magnetic moment at 0.96 μB per formula unit. The crystal system is cubic. Its total energy is -8.29 eV/atom.

Lattice parameters (Å, degrees): 6.269 6.269 6.269 90.00 90.00 90.00
Atoms (fractional coordinates):
Ta (0.000, 0.000, 0.000)
Ta (0.000, 0.500, 0.500)
Ta (0.500, 0.000, 0.500)
Ta (0.500, 0.500, 0.000)
Nb (0.250, 0.250, 0.250)
Nb (0.250, 0.750, 0.750)
Nb (0.750, 0.250, 0.750)
Nb (0.750, 0.750, 0.250)
Co (0.250, 0.250, 0.750)
Co (0.250, 0.750, 0.250)
Co (0.750, 0.250, 0.250)
Co (0.750, 0.750, 0.750)
Ge (0.000, 0.000, 0.500)
Ge (0.000, 0.500, 0.000)
Ge (0.500, 0.000, 0.000)
Ge (0.500, 0.500, 0.500)

---

No. 14
TaBiAsO | PBE | optimized geometry

## Properties
The calculation puts the magnetic moment at 0.00 μB per formula unit. The crystal system is orthorhombic. Its total energy is -7.01 eV/atom.

Lattice parameters (Å, degrees): 3.529 7.862 6.357 90.00 90.00 90.00
Atoms (fractional coordinates):
Ta (0.000, 0.208, 0.000)
Ta (0.000, 0.792, 0.500)
Bi (0.500, 0.392, 0.371)
Bi (0.500, 0.608, 0.871)
As (0.000, 0.108, 0.385)
As (0.000, 0.892, 0.885)
O (0.500, 0.229, 0.875)
O (0.500, 0.771, 0.375)

---

No. 15
Zr2CdB | PBE | optimized geometry

## Properties
The calculation puts the magnetic moment at 0.01 μB per formula unit. The crystal system is hexagonal. Its total energy is -6.46 eV/atom.

Lattice parameters (Å, degrees): 3.417 3.417 15.610 90.00 90.00 120.00
Atoms (fractional coordinates):
Zr (0.333, 0.667, 0.084)
Zr (0.333, 0.667, 0.416)
Zr (0.667, 0.333, 0.584)
Zr (0.667, 0.333, 0.916)
Cd (0.333, 0.667, 0.750)
Cd (0.667, 0.333, 0.250)
B (0.000, 0.000, 0.000)
B (0.000, 0.000, 0.500)

---

No. 16
LiSmOs | PBE | optimized geometry

## Properties
The calculation puts the magnetic moment at 0.01 μB per formula unit. The crystal system is cubic. Its total energy is -5.04 eV/atom.

Lattice parameters (Å, degrees): 6.450 6.450 6.450 90.00 90.00 90.00
Atoms (fractional coordinates):
Li (0.000, 0.000, 0.000)
Li (0.000, 0.500, 0.500)
Li (0.500, 0.000, 0.500)
Li (0.500, 0.500, 0.000)
Sm (0.250, 0.250, 0.250)
Sm (0.250, 0.750, 0.750)
Sm (0.750, 0.250, 0.750)
Sm (0.750, 0.750, 0.250)
Os (0.000, 0.000, 0.500)
Os (0.000, 0.500, 0.000)
Os (0.500, 0.000, 0.000)
Os (0.500, 0.500, 0.500)

---

No. 17
Dy2SbN | PBE | optimized geometry

## Properties
The calculation puts the magnetic moment at 0.00 μB per formula unit. The crystal system is tetragonal. Its total energy is -6.04 eV/atom.

Lattice parameters (Å, degrees): 4.005 4.005 5.724 90.00 90.00 90.00
Atoms (fractional coordinates):
Dy (0.000, 0.000, 0.000)
Dy (0.500, 0.500, 0.500)
Sb (0.000, 0.000, 0.500)
N (0.500, 0.500, 0.000)

---

No. 18
Ta2MoPd | PBE | optimized geometry

## Properties
The formation energy comes out at 0.3 eV/f.u. The calculation puts the magnetic moment at 0.00 μB per formula unit. The crystal system is cubic. Its total energy is -9.86 eV/atom.

Lattice parameters (Å, degrees): 6.454 6.454 6.454 90.00 90.00 90.00
Atoms (fractional coordinates):
Ta (0.000, 0.000, 0.000)
Ta (0.000, 0.500, 0.500)
Ta (0.250, 0.250, 0.250)
Ta (0.250, 0.750, 0.750)
Ta (0.500, 0.000, 0.500)
Ta (0.500, 0.500, 0.000)
Ta (0.750, 0.250, 0.750)
Ta (0.750, 0.750, 0.250)
Mo (0.250, 0.250, 0.750)
Mo (0.250, 0.750, 0.250)
Mo (0.750, 0.250, 0.250)
Mo (0.750, 0.750, 0.750)
Pd (0.000, 0.000, 0.500)
Pd (0.000, 0.500, 0.000)
Pd (0.500, 0.000, 0.000)
Pd (0.500, 0.500, 0.500)

---

No. 19
TbCdIn2 | PBE | optimized geometry

## Properties
The calculation puts the magnetic moment at 0.00 μB per formula unit. The crystal system is tetragonal. Its total energy is -3.16 eV/atom.

Lattice parameters (Å, degrees): 4.632 4.632 4.543 90.00 90.00 90.00
Atoms (fractional coordinates):
Tb (0.000, 0.000, 0.000)
Cd (0.500, 0.500, 0.000)
In (0.000, 0.500, 0.500)
In (0.500, 0.000, 0.500)

---

No. 20
GdDyMg6 | PBE | optimized geometry

## Properties
The calculation puts the magnetic moment at 0.03 μB per formula unit. The crystal system is orthorhombic. Its total energy is -2.40 eV/atom.

Lattice parameters (Å, degrees): 5.193 7.315 5.192 90.00 90.00 90.00
Atoms (fractional coordinates):
Gd (0.000, 0.000, 0.000)
Dy (0.500, 0.500, 0.491)
Mg (0.000, 0.251, 0.501)
Mg (0.000, 0.500, 0.999)
Mg (0.000, 0.749, 0.501)
Mg (0.500, 0.000, 0.492)
Mg (0.500, 0.251, 0.991)
Mg (0.500, 0.749, 0.991)